Entry 1:
Below is a relaxed FeCoPd5 crystal, with properties calculated at the PBE level.

* formation energy: 0.2042 eV per atom

Cell lengths 5.320, 5.320, 10.924 Å; angles 59.66, 59.66, 61.97 degrees
Each line ends with the local moment (μB).
Sites, in units of the cell vectors:
1 Fe 0.000 0.000 0.000  3.36
2 Fe 0.000 0.000 0.500  3.36
3 Co 0.619 0.381 0.250  2.10
4 Co 0.381 0.619 0.750  2.10
5 Pd 0.564 0.912 0.262  0.31
6 Pd 0.281 0.445 0.490  0.33
7 Pd 0.912 0.564 0.762  0.31
8 Pd 0.075 0.925 0.250  0.30
9 Pd 0.555 0.719 0.010  0.33
10 Pd 0.445 0.281 0.990  0.33
11 Pd 0.925 0.075 0.750  0.30
12 Pd 0.088 0.436 0.238  0.31
13 Pd 0.719 0.555 0.510  0.33
14 Pd 0.436 0.088 0.738  0.31

Entry 2:
Below is a relaxed BeMoAs crystal, with properties calculated at the PBE level.

* formation energy: 0.3045 eV per atom
* E above lowest polymorph: 381 meV/atom

Cell lengths 4.281, 4.281, 2.658 Å; angles 90.00, 90.00, 120.00 degrees
Sites, in units of the cell vectors:
1 Be 0.667 0.333 0.175
2 Mo 0.333 0.667 0.779
3 As 0.000 0.000 0.046

Entry 3:
Below is a relaxed SrInGa crystal, with properties calculated at the PBE level.

* formation energy: -0.4081 eV per atom

Cell lengths 4.421, 4.748, 4.748 Å; angles 120.00, 90.00, 90.00 degrees
Sites, in units of the cell vectors:
1 Sr 0.674 0.667 0.333
2 Ga 0.136 0.000 0.000
3 In 0.190 0.333 0.667

Entry 4:
Below is a relaxed AcTlSnRh3 crystal, with properties calculated at the PBE level.

* formation energy: -0.2805 eV per atom

Cell lengths 5.793, 5.789, 9.249 Å; angles 108.24, 90.00, 90.00 degrees
Sites, in units of the cell vectors:
1 Ac 0.750 0.243 0.485
2 Ac 0.250 0.757 0.515
3 Tl 0.250 0.107 0.215
4 Tl 0.750 0.893 0.785
5 Sn 0.250 0.409 0.818
6 Sn 0.750 0.591 0.182
7 Rh 0.250 0.260 0.520
8 Rh 0.000 0.239 0.000
9 Rh 0.500 0.761 0.000
10 Rh 0.500 0.239 0.000
11 Rh 0.000 0.761 0.000
12 Rh 0.750 0.740 0.480

Entry 5:
Below is a relaxed La3BiTe crystal, with properties calculated at the PBE level.

* E above lowest polymorph: 304 meV/atom
* formation energy without anion corrections: -0.427 eV/atom

Cell lengths 5.932, 5.932, 5.932 Å; angles 90.00, 90.00, 90.00 degrees
Sites, in units of the cell vectors:
1 Te 0.000 0.000 0.000
2 Bi 0.500 0.500 0.500
3 La 0.000 0.500 0.000
4 La 0.000 0.000 0.500
5 La 0.500 0.000 0.000

Entry 6:
Below is a relaxed InBiSN2 crystal, with properties calculated at the PBE level.

* E above lowest polymorph: 0 meV/atom
* formation energy without anion corrections: 1.191 eV/atom

Cell lengths 4.274, 4.274, 5.226 Å; angles 90.00, 90.00, 90.00 degrees
Each line ends with the local moment (μB).
Sites, in units of the cell vectors:
1 S 0.000 0.000 0.500  0.06
2 N 0.000 0.500 0.000  0.82
3 N 0.500 0.000 0.000  0.82
4 Bi 0.500 0.500 0.500  -0.33
5 In 0.000 0.000 0.000  -0.01

Entry 7:
Below is a relaxed Li4MgIn crystal, with properties calculated at the PBE level.

* formation energy: -0.1002 eV per atom
* E above lowest polymorph: 85 meV/atom

Cell lengths 5.379, 5.379, 5.379 Å; angles 60.00, 60.00, 60.00 degrees
Sites, in units of the cell vectors:
1 In 0.000 0.000 0.000
2 Li 0.122 0.626 0.626
3 Li 0.626 0.626 0.626
4 Li 0.626 0.122 0.626
5 Li 0.626 0.626 0.122
6 Mg 0.250 0.250 0.250

Entry 8:
Below is a relaxed PmHRh2 crystal, with properties calculated at the PBE level.

* uncorrected energy: -21.59 eV/cell

Cell lengths 3.004, 3.004, 7.720 Å; angles 78.78, 78.78, 60.00 degrees
Sites, in units of the cell vectors:
1 H 0.500 0.500 0.500
2 Rh 0.116 0.116 0.652
3 Rh 0.884 0.884 0.348
4 Pm 0.000 0.000 0.000

Entry 9:
Below is a relaxed TbNdYHg crystal, with properties calculated at the PBE level.

* formation energy: -0.0598 eV per atom
* E above lowest polymorph: 179 meV/atom

Cell lengths 5.477, 5.477, 5.477 Å; angles 60.00, 60.00, 60.00 degrees
Sites, in units of the cell vectors:
1 Y 0.250 0.250 0.250
2 Nd 0.750 0.750 0.750
3 Tb 0.000 0.000 0.000
4 Hg 0.500 0.500 0.500

Entry 10:
Below is a relaxed Sr6Se3S2Br crystal, with properties calculated at the PBE level.

* formation energy without anion corrections: -1.988 eV/atom

Cell lengths 4.393, 8.792, 9.796 Å; angles 102.56, 102.96, 90.00 degrees
Sites, in units of the cell vectors:
1 Sr 0.327 0.905 0.653
2 Sr 0.669 0.579 0.338
3 Sr 0.673 0.095 0.347
4 Sr 0.004 0.266 0.008
5 Sr 0.996 0.734 0.992
6 Sr 0.331 0.421 0.662
7 Se 0.500 0.500 0.000
8 Se 0.838 0.165 0.675
9 Se 0.162 0.835 0.325
10 S 0.834 0.668 0.668
11 S 0.166 0.332 0.332
12 Br 0.500 0.000 0.000

Entry 11:
Below is a relaxed Sc2MoP crystal, with properties calculated at the PBE level.

* formation energy: -0.0223 eV per atom

Cell lengths 7.813, 7.813, 6.058 Å; angles 49.84, 49.84, 90.00 degrees
Sites, in units of the cell vectors:
1 Sc 0.561 0.125 0.250
2 Sc 0.189 0.625 0.250
3 Sc 0.375 0.439 0.750
4 Sc 0.875 0.811 0.750
5 P 0.500 0.500 0.000
6 P 0.250 0.750 0.500
7 Mo 0.000 0.000 0.000
8 Mo 0.750 0.250 0.500

Entry 12:
Below is a relaxed Pr6Cd2Ni crystal, with properties calculated at the PBE level.

* formation energy: -0.1106 eV per atom

Cell lengths 7.119, 7.134, 11.188 Å; angles 90.00, 89.96, 90.00 degrees
Sites, in units of the cell vectors:
1 Pr 0.910 0.044 0.257
2 Pr 0.802 0.675 0.535
3 Pr 0.827 0.691 0.964
4 Pr 0.673 0.191 0.536
5 Pr 0.698 0.175 0.965
6 Pr 0.590 0.544 0.243
7 Pr 0.090 0.956 0.743
8 Pr 0.198 0.325 0.465
9 Pr 0.173 0.309 0.036
10 Pr 0.327 0.809 0.464
11 Pr 0.302 0.825 0.035
12 Pr 0.410 0.456 0.757
13 Cd 0.948 0.407 0.749
14 Cd 0.552 0.907 0.751
15 Cd 0.448 0.093 0.249
16 Cd 0.052 0.593 0.251
17 Ni 0.500 0.500 0.000
18 Ni 0.000 0.000 0.500

Entry 13:
Below is a relaxed Li6Ag10Pd crystal, with properties calculated at the PBE level.

* formation energy: -0.1347 eV per atom

Cell lengths 5.585, 7.633, 7.633 Å; angles 120.00, 90.00, 90.00 degrees
Sites, in units of the cell vectors:
1 Li 0.682 0.356 0.356
2 Li 0.682 0.000 0.644
3 Li 0.682 0.644 0.000
4 Li 0.318 0.644 0.644
5 Li 0.318 0.000 0.356
6 Li 0.318 0.356 0.000
7 Ag 0.820 0.709 0.709
8 Ag 0.820 0.000 0.291
9 Ag 0.820 0.291 0.000
10 Ag 0.180 0.291 0.291
11 Ag 0.180 0.000 0.709
12 Ag 0.180 0.709 0.000
13 Ag 0.500 0.333 0.667
14 Ag 0.500 0.667 0.333
15 Ag 0.000 0.667 0.333
16 Ag 0.000 0.333 0.667
17 Pd 0.500 0.000 0.000

Entry 14:
Below is a relaxed BaVP2Cl crystal, with properties calculated at the PBE level.

* E above lowest polymorph: 0 meV/atom
* formation energy without anion corrections: -0.846 eV/atom

Cell lengths 4.621, 4.621, 5.335 Å; angles 90.00, 90.00, 90.00 degrees
Each line ends with the local moment (μB).
Sites, in units of the cell vectors:
1 P 0.000 0.500 0.000  -0.05
2 P 0.500 0.000 0.000  -0.05
3 Cl 0.000 0.000 0.500  0.00
4 Ba 0.500 0.500 0.500  0.00
5 V 0.000 0.000 0.000  1.08

Entry 15:
Below is a relaxed YZrW2 crystal, with properties calculated at the PBE level.

* formation energy: 0.3677 eV per atom
* E above lowest polymorph: 160 meV/atom

Cell lengths 4.431, 3.053, 6.239 Å; angles 77.90, 90.00, 90.00 degrees
Sites, in units of the cell vectors:
1 W 0.000 0.028 0.021
2 W 0.500 0.211 0.211
3 Y 0.000 0.491 0.482
4 Zr 0.500 0.770 0.787

Entry 16:
Below is a relaxed KReAu crystal, with properties calculated at the PBE level.

* formation energy: 0.8129 eV per atom
* E above lowest polymorph: 0 meV/atom

Cell lengths 6.643, 6.643, 6.643 Å; angles 156.55, 140.66, 46.30 degrees
Each line ends with the local moment (μB).
Sites, in units of the cell vectors:
1 Au 0.054 0.054 0.000  0.00
2 K 0.335 0.335 0.000  0.00
3 Re 0.610 0.610 0.000  0.34

Entry 17:
Below is a relaxed Ti4CoBi crystal, with properties calculated at the PBE level.

* formation energy: -0.1496 eV per atom
* E above lowest polymorph: 0 meV/atom

Cell lengths 4.904, 6.465, 7.787 Å; angles 114.52, 108.36, 90.00 degrees
Sites, in units of the cell vectors:
1 Ti 0.834 0.334 0.667
2 Ti 0.618 0.354 0.237
3 Ti 0.000 0.200 0.000
4 Ti 0.382 0.117 0.763
5 Ti 0.166 0.666 0.333
6 Ti 0.382 0.646 0.763
7 Ti 0.000 0.800 0.000
8 Ti 0.618 0.883 0.237
9 Co 0.741 0.500 0.000
10 Co 0.259 0.500 0.000
11 Bi 0.198 0.198 0.396
12 Bi 0.802 0.802 0.604

Entry 18:
Below is a relaxed Cd2NiTe crystal, with properties calculated at the PBE level.

* formation energy without anion corrections: -0.026 eV/atom

Cell lengths 3.237, 4.258, 6.777 Å; angles 71.68, 90.00, 90.00 degrees
Sites, in units of the cell vectors:
1 Cd 0.000 0.929 0.018
2 Cd 0.500 0.271 0.332
3 Ni 0.000 0.726 0.422
4 Te 0.500 0.574 0.728

Entry 19:
Below is a relaxed Ca2CdCu3Sn4 crystal, with properties calculated at the PBE level.

* formation energy: -0.2764 eV per atom

Cell lengths 4.475, 4.475, 11.413 Å; angles 90.00, 90.00, 90.00 degrees
Sites, in units of the cell vectors:
1 Ca 0.500 0.000 0.247
2 Ca 0.000 0.500 0.753
3 Cd 0.500 0.500 0.500
4 Cu 0.000 0.000 0.500
5 Cu 0.500 0.000 0.869
6 Cu 0.000 0.500 0.131
7 Sn 0.500 0.500 0.000
8 Sn 0.000 0.000 0.000
9 Sn 0.500 0.000 0.647
10 Sn 0.000 0.500 0.353

Entry 20:
Below is a relaxed KCdAg2Cl6 crystal, with properties calculated at the PBE level.

* formation energy without anion corrections: -0.891 eV/atom

Cell lengths 8.197, 9.538, 9.538 Å; angles 103.66, 73.39, 73.39 degrees
Each line ends with the local moment (μB).
Sites, in units of the cell vectors:
1 K 0.250 0.891 0.109  0.00
2 K 0.750 0.109 0.891  0.00
3 Cd 0.250 0.191 0.809  0.00
4 Cd 0.750 0.809 0.191  0.00
5 Ag 0.341 0.704 0.546  0.18
6 Ag 0.159 0.454 0.296  0.18
7 Ag 0.659 0.296 0.454  0.18
8 Ag 0.841 0.546 0.704  0.18
9 Cl 0.185 0.939 0.795  0.06
10 Cl 0.315 0.205 0.061  0.06
11 Cl 0.815 0.061 0.205  0.06
12 Cl 0.685 0.795 0.939  0.06
13 Cl 0.434 0.867 0.363  0.02
14 Cl 0.066 0.637 0.133  0.02
15 Cl 0.566 0.133 0.637  0.02
16 Cl 0.934 0.363 0.867  0.02
17 Cl 0.016 0.688 0.548  0.14
18 Cl 0.484 0.452 0.312  0.14
19 Cl 0.984 0.312 0.452  0.14
20 Cl 0.516 0.548 0.688  0.14

Entry 21:
Below is a relaxed TbThN crystal, with properties calculated at the PBE level.

* E above lowest polymorph: 761 meV/atom
* formation energy without anion corrections: -0.145 eV/atom

Cell lengths 4.399, 4.399, 4.399 Å; angles 60.00, 60.00, 60.00 degrees
Sites, in units of the cell vectors:
1 Tb 0.500 0.500 0.500
2 Th 0.000 0.000 0.000
3 N 0.250 0.250 0.250

Entry 22:
Below is a relaxed Ho2HgPb crystal, with properties calculated at the PBE level.

* formation energy: -0.4448 eV per atom

Cell lengths 4.445, 6.153, 8.774 Å; angles 111.52, 90.00, 90.00 degrees
Sites, in units of the cell vectors:
1 Ho 0.750 0.219 0.434
2 Ho 0.250 0.781 0.566
3 Ho 0.250 0.762 0.068
4 Ho 0.750 0.238 0.932
5 Hg 0.750 0.691 0.299
6 Hg 0.250 0.309 0.701
7 Pb 0.250 0.315 0.207
8 Pb 0.750 0.685 0.793

Entry 23:
Below is a relaxed Tl2In3Pb2 crystal, with properties calculated at the PBE level.

* formation energy: 0.0101 eV per atom
* E above lowest polymorph: 0 meV/atom

Cell lengths 4.993, 5.961, 9.122 Å; angles 57.49, 74.27, 65.19 degrees
Sites, in units of the cell vectors:
1 Tl 0.289 0.283 0.139
2 Tl 0.711 0.717 0.861
3 In 0.000 0.000 0.000
4 In 0.570 0.570 0.290
5 In 0.430 0.430 0.710
6 Pb 0.143 0.142 0.573
7 Pb 0.857 0.858 0.427

Entry 24:
Below is a relaxed SrMgCd3 crystal, with properties calculated at the PBE level.

* formation energy: -0.2241 eV per atom
* E above lowest polymorph: 0 meV/atom

Cell lengths 6.370, 6.368, 13.537 Å; angles 90.00, 90.00, 90.00 degrees
Sites, in units of the cell vectors:
1 Sr 0.500 0.500 0.250
2 Sr 0.500 0.500 0.750
3 Sr 0.000 0.000 0.250
4 Sr 0.000 0.000 0.750
5 Mg 0.250 0.250 0.000
6 Mg 0.750 0.750 0.000
7 Mg 0.250 0.750 0.500
8 Mg 0.750 0.250 0.500
9 Cd 0.250 0.250 0.500
10 Cd 0.750 0.750 0.500
11 Cd 0.250 0.750 0.000
12 Cd 0.750 0.250 0.000
13 Cd 0.000 0.500 0.143
14 Cd 0.000 0.500 0.857
15 Cd 0.000 0.500 0.357
16 Cd 0.500 0.000 0.357
17 Cd 0.000 0.500 0.643
18 Cd 0.500 0.000 0.643
19 Cd 0.500 0.000 0.143
20 Cd 0.500 0.000 0.857